# 1
VASP calculation (PBE) on crystalline RbTePd3 at its relaxed geometry.

```
5
Lattice="5.143 0.000 0.000 0.000 5.143 0.000 0.000 0.000 5.143" Properties=species:S:1:pos:R:3 pbc="T T T"
Rb 0.000 0.000 0.000
Pd 2.572 0.000 0.000
Te 2.572 2.572 2.572
Pd 0.000 0.000 2.572
Pd 0.000 2.572 0.000
```

Output
Energy relative to the lowest polymorph listed for this composition = 6.626 eV/f.u.
Uncorrected energy = -2.6829 eV per atom
Fermi-level density of states = 0.90 states/eV/atom
Raw formation energy = 1.255 eV per atom
Symmetry = No. 221


# 2
VASP calculation (PBE) on crystalline EuCuPbAu at its relaxed geometry.

```
4
Lattice="5.071 0.000 0.000 2.535 4.391 0.000 2.535 1.464 4.140" Properties=species:S:1:pos:R:3 pbc="T T T"
Eu 7.606 4.391 3.105
Au 0.000 0.000 0.000
Cu 5.071 2.928 2.070
Pb 2.535 1.464 1.035
```

Output
Uncorrected energy = -5.6450 eV per atom
Fermi-level density of states = 3.24 states/eV/atom
Symmetry = No. 216
DFT formation energy = -0.306 eV/atom